# LiIrO3 GGA-PBE relaxed
# energy relative to the elements, uncorrected: -1.068 eV/atom
# size of the total moment: 0.000 μB per atom
# DOS at the Fermi energy: 5.39 states/eV per cell
data_LiIrO3
_symmetry_space_group_name_H-M 'P 1 21/m 1'
_symmetry_Int_Tables_number 11
_symmetry_space_group_name_Hall '-P 2yb'
_cell_length_a 5.288
_cell_length_b 3.134
_cell_length_c 7.609
_cell_angle_alpha 90.00
_cell_angle_beta 100.06
_cell_angle_gamma 90.00
loop_
_atom_site_label
_atom_site_fract_x
_atom_site_fract_y
_atom_site_fract_z
_atom_site_occupancy
Li1 0.112 0.250 0.385 1
Ir1 0.418 0.250 0.813 1
O1 0.106 0.250 0.652 1
O2 0.317 0.750 0.959 1
O3 0.432 0.250 0.289 1



# RbSn2S4 GGA-PBE relaxed
# energy relative to the elements, uncorrected: -0.545 eV/atom
# size of the total moment: 0.000 μB per atom
data_RbSn2S4
_symmetry_space_group_name_H-M 'P 1'
_symmetry_Int_Tables_number 1
_symmetry_space_group_name_Hall 'P 1'
_cell_length_a 7.585
_cell_length_b 7.588
_cell_length_c 9.061
_cell_angle_alpha 104.96
_cell_angle_beta 100.28
_cell_angle_gamma 118.42
loop_
_atom_site_label
_atom_site_fract_x
_atom_site_fract_y
_atom_site_fract_z
_atom_site_occupancy
Rb1 0.000 0.000 0.000 1
Rb2 0.394 0.526 0.922 1
Sn1 0.145 0.759 0.429 1
Sn2 0.652 0.155 0.811 1
Sn3 0.668 0.282 0.429 1
Sn4 0.668 0.774 0.444 1
S1 0.411 0.194 0.607 1
S2 0.414 0.850 0.265 1
S3 0.435 0.371 0.274 1
S4 0.435 0.741 0.634 1
S5 0.890 0.196 0.634 1
S6 0.902 0.838 0.274 1
S7 0.919 0.705 0.627 1
S8 0.934 0.351 0.287 1



# Ba2Tl4CdIn3 GGA-PBE relaxed
# size of the total moment: 0.000 μB per atom
# DOS at the Fermi energy: 3.70 states/eV per cell
# energy relative to the elements: -262 kJ/mol of formula units
data_Ba2Tl4CdIn3
_symmetry_space_group_name_H-M 'P -4 m 2'
_symmetry_Int_Tables_number 115
_symmetry_space_group_name_Hall 'P -4 -2'
_cell_length_a 5.138
_cell_length_b 5.138
_cell_length_c 12.347
_cell_angle_alpha 90.00
_cell_angle_beta 90.00
_cell_angle_gamma 90.00
loop_
_atom_site_label
_atom_site_fract_x
_atom_site_fract_y
_atom_site_fract_z
_atom_site_occupancy
Ba1 0.000 0.500 0.248 1
Tl1 0.000 0.000 0.500 1
Tl2 0.000 0.500 0.869 1
Tl3 0.500 0.500 0.500 1
Cd1 0.500 0.500 0.000 1
In1 0.000 0.000 0.000 1
In2 0.000 0.500 0.634 1



# AlFe4Co GGA-PBE relaxed
# size of the total moment: 1.402 μB per atom
# DOS at the Fermi energy: 27.99 states/eV per cell
# energy relative to the elements: 15 kJ/mol of formula units
data_AlFe4Co
_symmetry_space_group_name_H-M 'F -4 3 m'
_symmetry_Int_Tables_number 216
_symmetry_space_group_name_Hall 'F -4 2 3'
_cell_length_a 6.582
_cell_length_b 6.582
_cell_length_c 6.582
_cell_angle_alpha 90.00
_cell_angle_beta 90.00
_cell_angle_gamma 90.00
loop_
_atom_site_label
_atom_site_fract_x
_atom_site_fract_y
_atom_site_fract_z
_atom_site_occupancy
Al1 0.000 0.000 0.000 1
Fe1 0.125 0.125 0.375 1
Co1 0.250 0.250 0.750 1



# TcSbOs2 GGA-PBE relaxed
# energy relative to the elements, uncorrected: 0.499 eV/atom
# size of the total moment: 0.000 μB per atom
# DOS at the Fermi energy: 3.14 states/eV per cell
data_TcSbOs2
_symmetry_space_group_name_H-M 'P 1 2/m 1'
_symmetry_Int_Tables_number 10
_symmetry_space_group_name_Hall '-P 2y'
_cell_length_a 2.866
_cell_length_b 4.169
_cell_length_c 5.518
_cell_angle_alpha 90.00
_cell_angle_beta 102.38
_cell_angle_gamma 90.00
loop_
_atom_site_label
_atom_site_fract_x
_atom_site_fract_y
_atom_site_fract_z
_atom_site_occupancy
Tc1 0.000 0.000 0.000 1
Sb1 0.000 0.000 0.500 1
Os1 0.394 0.500 0.763 1



# Rb2Mg2B GGA-PBE relaxed
# size of the total moment: 0.318 μB per atom
# DOS at the Fermi energy: 9.10 states/eV per cell
# energy relative to the elements: 582 kJ/mol of formula units
data_Rb2Mg2B
_symmetry_space_group_name_H-M 'P 4/m b m'
_symmetry_Int_Tables_number 127
_symmetry_space_group_name_Hall '-P 4 2ab'
_cell_length_a 8.357
_cell_length_b 8.357
_cell_length_c 6.278
_cell_angle_alpha 90.00
_cell_angle_beta 90.00
_cell_angle_gamma 90.00
loop_
_atom_site_label
_atom_site_fract_x
_atom_site_fract_y
_atom_site_fract_z
_atom_site_occupancy
Rb1 0.164 0.336 0.000 1
Mg1 0.144 0.644 0.500 1
B1 0.000 0.000 0.000 1



> Number 1 is which compound?

LiIrO3